Arrangement i

{
  "formula": "CsTlB2",
  "functional": "PBE",
  "state": "relaxed",
  "vol_a3_per_cell": 93.8,
  "lattice_angstrom": [[0.133, -3.403, 3.796], [-4.260, -1.123, 2.569], [-2.204, -4.562, -0.587]],
  "species": ["Cs", "Tl", "B", "B"],
  "fractional_positions": [[0.000, 0.000, 0.000], [0.500, 0.500, 0.500], [0.250, 0.250, 0.250], [0.750, 0.750, 0.750]]
}


Arrangement ii

{
  "formula": "CsTlB2",
  "functional": "PBE",
  "state": "relaxed",
  "vol_a3_per_cell": 212.2,
  "lattice_angstrom": [[-0.478, 2.765, -4.364], [3.925, -2.655, -2.112], [-3.380, -5.258, -6.045]],
  "species": ["Cs", "Cs", "Tl", "Tl", "B", "B", "B", "B"],
  "fractional_positions": [[0.500, 0.500, 0.000], [0.250, 0.750, 0.500], [0.000, 0.000, 0.000], [0.750, 0.250, 0.500], [0.875, 0.125, 0.250], [0.875, 0.625, 0.250], [0.375, 0.125, 0.750], [0.875, 0.125, 0.750]]
}


Least stable: arrangement i


Arrangement i

{
  "formula": "CsV3B",
  "functional": "PBE",
  "state": "relaxed",
  "vol_a3_per_cell": 103.3,
  "lattice_angstrom": [[-3.398, -0.509, -3.195], [-1.154, -4.138, 1.887], [-3.023, 2.152, 2.871]],
  "species": ["Cs", "B", "V", "V", "V"],
  "fractional_positions": [[0.000, 0.000, 0.000], [0.500, 0.500, 0.500], [0.000, 0.500, 0.000], [0.000, 0.000, 0.500], [0.500, 0.000, 0.000]]
}


Arrangement ii

{
  "formula": "CsV3B",
  "functional": "PBE",
  "state": "relaxed",
  "vol_a3_per_cell": 80.3,
  "lattice_angstrom": [[4.314, 0.000, 0.000], [0.000, 4.314, 0.000], [0.000, 0.000, 4.314]],
  "species": ["Cs", "B", "V", "V", "V"],
  "fractional_positions": [[0.500, 0.500, 0.500], [0.000, 0.000, 0.000], [0.000, 0.500, 0.000], [0.000, 0.000, 0.500], [0.500, 0.000, 0.000]]
}


Least stable: arrangement i


Arrangement i

{
  "formula": "Cs2BW",
  "functional": "PBE",
  "state": "relaxed",
  "vol_a3_per_cell": 250.7,
  "lattice_angstrom": [[-2.708, 0.224, -3.686], [1.135, -4.299, -1.095], [-9.962, -6.114, 4.103]],
  "species": ["Cs", "Cs", "Cs", "Cs", "B", "B", "W", "W"],
  "fractional_positions": [[0.623, 0.125, 0.250], [0.127, 0.625, 0.250], [0.375, 0.377, 0.750], [0.875, 0.873, 0.750], [0.500, 0.500, 0.000], [0.250, 0.750, 0.500], [0.000, 0.000, 0.000], [0.750, 0.250, 0.500]]
}


Arrangement ii

{
  "formula": "Cs2BW",
  "functional": "PBE",
  "state": "relaxed",
  "vol_a3_per_cell": 155.9,
  "lattice_angstrom": [[-4.638, -3.838, -0.513], [-5.108, 1.008, 3.064], [-5.003, 1.684, -2.939]],
  "species": ["Cs", "Cs", "B", "W"],
  "fractional_positions": [[0.250, 0.250, 0.250], [0.750, 0.750, 0.750], [0.000, 0.000, 0.000], [0.500, 0.500, 0.500]]
}


Least stable: arrangement i